Material: SnPtNO2
Method: DFT, PBE
State: optimized geometry

## Properties
The value obtained for the total energy is -25.30 eV per cell. Its crystal system is tetragonal. The calculation puts the uncorrected formation energy at 0.60 eV/atom.

a b c (Å): 3.995 3.995 4.260
angles (deg): 90.00 90.00 90.00
Each line ends with the local moment (μB).
Element x y z (fractional)
O 0.000 0.500 0.000  0.28
O 0.500 0.000 0.000  0.28
Sn 0.000 0.000 0.000  -0.03
Pt 0.500 0.500 0.500  0.74
N 0.000 0.000 0.500  0.38


Material: LaPbCl2
Method: DFT, PBE
State: optimized geometry

## Properties
The value obtained for the total energy is -17.70 eV per cell. Its offset from the most stable computed form is 0.014 eV/atom. Its crystal system is monoclinic. The calculation puts the uncorrected formation energy at -1.34 eV/atom.

a b c (Å): 5.741 5.741 5.944
angles (deg): 78.86 78.86 38.89
Element x y z (fractional)
Pb 0.250 0.250 0.250
Cl 0.057 0.057 0.954
Cl 0.443 0.443 0.546
La 0.750 0.750 0.750